MnF | GGA+U | relaxed

Cell lengths 8.266, 8.266, 3.357 Å; angles 90.00, 90.00, 120.00 degrees
Site moments in Bohr magnetons follow the coordinates.
Atoms (fractional coordinates):
Mn: 0.944 0.280 0.250  4.58
Mn: 0.664 0.944 0.750  4.58
Mn: 0.720 0.664 0.250  4.58
Mn: 0.056 0.720 0.750  4.58
Mn: 0.336 0.056 0.250  4.58
Mn: 0.280 0.336 0.750  4.58
F: 0.632 0.117 0.250  0.06
F: 0.515 0.632 0.750  0.06
F: 0.883 0.515 0.250  0.06
F: 0.368 0.883 0.750  0.06
F: 0.485 0.368 0.250  0.06
F: 0.117 0.485 0.750  0.06

Computed properties:
Fermi-level density of states (states/eV per atom): 0.304
Final energy (eV/f.u.): -12.21
Polymorph energy (0 for the lowest one) (meV per atom): 102.4